Lu2InOs: optimized geometry, PBE.

## Properties
The total energy is -6.0528 eV/atom. As for the energy above the most stable polymorph in this dataset: 0.145 eV per atom. The value obtained for the density of states at the Fermi level is 0.893 states/eV/atom. The calculation puts the formation energy at -300 meV/atom. The space group is Fm-3m (225).

Structure (POSCAR):
```
Lu2InOs
1.0
4.937 0.000 0.000
2.469 4.276 0.000
2.469 1.425 4.031
Os In Lu
1 1 2
Direct
0.000 0.000 0.000
0.500 0.500 0.500
0.250 0.250 0.250
0.750 0.750 0.750
```

***

Lu2InOs: optimized geometry, PBE.

## Properties
The total energy is -6.0415 eV/atom. As for the energy above the most stable polymorph in this dataset: 0.156 eV per atom. The value obtained for the density of states at the Fermi level is 0.745 states/eV/atom. The calculation puts the formation energy at -289 meV/atom. The space group is P4/mmm (123).

Structure (POSCAR):
```
Lu2InOs
1.0
3.591 0.000 0.000
0.000 4.871 0.000
0.000 0.000 4.871
Lu In Os
2 1 1
Direct
0.000 0.500 0.000
0.000 0.000 0.500
0.500 0.000 0.000
0.500 0.500 0.500
```

***

PmLuInOs: optimized geometry, PBE.

## Properties
The total energy is -6.0017 eV/atom. The value obtained for the density of states at the Fermi level is 0.639 states/eV/atom. The calculation puts the formation energy at -192 meV/atom. The space group is F-43m (216).

Structure (POSCAR):
```
PmLuInOs
1.0
-1.956 3.221 -3.377
-5.002 0.157 -0.744
-2.667 4.002 1.571
Lu In Os Pm
1 1 1 1
Direct
0.250 0.250 0.250
0.000 0.000 0.000
0.500 0.500 0.500
0.750 0.750 0.750
```

***

PrLuInOs: optimized geometry, PBE.

## Properties
The total energy is -5.9574 eV/atom. The value obtained for the density of states at the Fermi level is 0.623 states/eV/atom. The calculation puts the formation energy at -140 meV/atom. The space group is F-43m (216).

Structure (POSCAR):
```
PrLuInOs
1.0
-3.089 -1.153 3.893
-2.513 -4.440 0.034
1.320 -3.652 3.308
Pr Os Lu In
1 1 1 1
Direct
0.000 0.000 0.000
0.750 0.750 0.750
0.500 0.500 0.500
0.250 0.250 0.250
```

***

SmLuInOs: optimized geometry, PBE.

## Properties
The total energy is -6.0090 eV/atom. The value obtained for the density of states at the Fermi level is 0.655 states/eV/atom. The calculation puts the formation energy at -207 meV/atom. The space group is F-43m (216).

Structure (POSCAR):
```
SmLuInOs
1.0
5.045 0.000 0.000
2.523 4.369 0.000
2.523 1.456 4.119
Lu Os In Sm
1 1 1 1
Direct
0.000 0.000 0.000
0.750 0.750 0.750
0.250 0.250 0.250
0.500 0.500 0.500
```

***

LuThInOs: optimized geometry, PBE.

## Properties
The total energy is -6.6323 eV/atom. The value obtained for the density of states at the Fermi level is 0.775 states/eV/atom. The calculation puts the formation energy at -155 meV/atom. The space group is F-43m (216).

Structure (POSCAR):
```
LuThInOs
1.0
5.117 0.000 0.000
2.559 4.432 0.000
2.559 1.477 4.178
In Th Os Lu
1 1 1 1
Direct
0.250 0.250 0.250
0.500 0.500 0.500
0.750 0.750 0.750
0.000 0.000 0.000
```

***

TmLuInOs: optimized geometry, PBE.

## Properties
The total energy is -6.0329 eV/atom. The value obtained for the density of states at the Fermi level is 0.836 states/eV/atom. The calculation puts the formation energy at -293 meV/atom. The space group is F-43m (216).

Structure (POSCAR):
```
TmLuInOs
1.0
4.955 0.000 0.000
2.478 4.291 0.000
2.478 1.430 4.046
In Tm Os Lu
1 1 1 1
Direct
0.000 0.000 0.000
0.750 0.750 0.750
0.500 0.500 0.500
0.250 0.250 0.250
```

***

Lu3InP: optimized geometry, PBE.

## Properties
The total energy is -5.0086 eV/atom. The value obtained for the density of states at the Fermi level is 0.431 states/eV/atom. The calculation puts the formation energy at -666 meV/atom. The space group is Pm-3m (221).

Structure (POSCAR):
```
Lu3InP
1.0
-1.810 4.170 2.330
-4.589 -0.827 -2.086
-1.326 -2.833 4.039
Lu In P
3 1 1
Direct
0.500 0.000 0.000
0.000 0.500 0.000
0.000 0.000 0.500
0.500 0.500 0.500
0.000 0.000 0.000
```

***

Q: Which of these has the highest total energy?
A: Lu3InP

***

Q: The lowest total energy belongs to which entry?
A: LuThInOs

***

Q: Number 8 is which compound?
A: Lu3InP

***

Q: The highest total energy belongs to which entry?
A: Lu3InP